Record 1
Material: CoSeO4
Method: DFT, meta-GGA SCAN
State: single point on PBEsol structure

Lattice parameters (Å, degrees): 9.0461 6.5620 4.8559 90.00 90.00 90.00
Atoms (fractional coordinates):
Co: 0.0000 0.0000 0.0000
Co: 0.0000 0.5000 0.0000
Co: 0.5000 0.0000 0.5000
Co: 0.5000 0.5000 0.5000
Se: 0.1805 0.2500 0.4729
Se: 0.3195 0.7500 0.9729
Se: 0.6805 0.2500 0.0271
Se: 0.8195 0.7500 0.5271
O: 0.1151 0.2500 0.8030
O: 0.1222 0.0346 0.3208
O: 0.1222 0.4654 0.3208
O: 0.1310 0.7500 0.9227
O: 0.3690 0.2500 0.4227
O: 0.3778 0.5346 0.8208
O: 0.3778 0.9654 0.8208
O: 0.3849 0.7500 0.3030
O: 0.6151 0.2500 0.6970
O: 0.6222 0.0346 0.1792
O: 0.6222 0.4654 0.1792
O: 0.6310 0.7500 0.5773
O: 0.8690 0.2500 0.0773
O: 0.8778 0.5346 0.6792
O: 0.8778 0.9654 0.6792
O: 0.8849 0.7500 0.1970

Calculated values
**Raw total energy**: -11.297 eV per atom
**Total moment**: 0.50 μB per atom
**Uncorrected formation energy**: -0.91 eV/atom

Record 2
Material: CoSiO2
Method: DFT, meta-GGA SCAN
State: single point on PBEsol structure

Lattice parameters (Å, degrees): 3.6977 3.6977 3.6977 60.00 60.00 60.00
Atoms (fractional coordinates):
Co: 0.0000 0.0000 0.0000
Si: 0.5000 0.5000 0.5000
O: 0.2500 0.2500 0.2500
O: 0.7500 0.7500 0.7500

Calculated values
**DOS(E_F)**: 2.4 states/eV per cell
**Raw total energy**: -10.173 eV per atom
**Total moment**: 0.69 μB per atom
**Offset from the most stable computed form**: 1.005 eV/atom
**Uncorrected formation energy**: -0.23 eV/atom

Record 3
Material: CoSiO2
Method: DFT, meta-GGA SCAN
State: single point on PBEsol structure

Lattice parameters (Å, degrees): 6.0619 6.0619 6.0619 26.70 26.70 26.70
Atoms (fractional coordinates):
Co: 0.0000 0.0000 0.0000
Si: 0.5000 0.5000 0.5000
O: 0.4025 0.4025 0.4025
O: 0.5975 0.5975 0.5975

Calculated values
**DOS(E_F)**: 1.2 states/eV per cell
**Raw total energy**: -11.178 eV per atom
**Total moment**: 0.75 μB per atom
**Offset from the most stable computed form**: 0.000 eV/atom
**Uncorrected formation energy**: -1.23 eV/atom

Record 4
Material: Sr2CoSi2O7
Method: DFT, meta-GGA SCAN
State: single point on PBEsol structure

Lattice parameters (Å, degrees): 7.9913 7.9913 5.1535 90.00 90.00 90.00
Atoms (fractional coordinates):
Sr: 0.1656 0.3344 0.0068
Sr: 0.3344 0.8344 0.9932
Sr: 0.6656 0.1656 0.9932
Sr: 0.8344 0.6656 0.0068
Co: 0.0000 0.0000 0.5000
Co: 0.5000 0.5000 0.5000
Si: 0.1392 0.6392 0.5511
Si: 0.3608 0.1392 0.4489
Si: 0.6392 0.8608 0.4489
Si: 0.8608 0.3608 0.5511
O: 0.0000 0.5000 0.6628
O: 0.0802 0.8111 0.7000
O: 0.1391 0.6391 0.2385
O: 0.1889 0.0802 0.3000
O: 0.3111 0.5802 0.7000
O: 0.3609 0.1391 0.7615
O: 0.4198 0.3111 0.3000
O: 0.5000 0.0000 0.3372
O: 0.5802 0.6889 0.3000
O: 0.6391 0.8609 0.7615
O: 0.6889 0.4198 0.7000
O: 0.8111 0.9198 0.3000
O: 0.8609 0.3609 0.2385
O: 0.9198 0.1889 0.7000

Calculated values
**DOS(E_F)**: 0.0 states/eV per cell
**Raw total energy**: -13.406 eV per atom
**Total moment**: 0.25 μB per atom
**Uncorrected formation energy**: -2.95 eV/atom

Record 5
Material: ZnCoSi2O6
Method: DFT, meta-GGA SCAN
State: single point on PBEsol structure

Lattice parameters (Å, degrees): 6.6284 6.6284 5.1937 103.98 103.98 85.57
Atoms (fractional coordinates):
Zn: 0.2442 0.7558 0.7500
Zn: 0.7558 0.2442 0.2500
Co: 0.0873 0.9127 0.2500
Co: 0.9127 0.0873 0.7500
Si: 0.2162 0.3923 0.2566
Si: 0.3923 0.2162 0.7566
Si: 0.6077 0.7838 0.2434
Si: 0.7838 0.6077 0.7434
O: 0.0377 0.2124 0.1463
O: 0.1355 0.6258 0.3741
O: 0.2124 0.0377 0.6463
O: 0.3219 0.3940 0.0025
O: 0.3742 0.8645 0.1259
O: 0.3940 0.3219 0.5025
O: 0.6060 0.6781 0.4975
O: 0.6258 0.1355 0.8741
O: 0.6781 0.6060 0.9975
O: 0.7876 0.9623 0.3537
O: 0.8645 0.3742 0.6259
O: 0.9623 0.7876 0.8537

Calculated values
**Raw total energy**: -11.193 eV per atom
**Total moment**: 0.30 μB per atom
**Uncorrected formation energy**: -2.37 eV/atom

Record 6
Material: SrSmCoO4
Method: DFT, meta-GGA SCAN
State: single point on PBEsol structure

Lattice parameters (Å, degrees): 6.5807 6.5807 6.5807 147.17 147.17 47.12
Atoms (fractional coordinates):
Sr: 0.0000 0.0000 0.0000
Sm: 0.2801 0.2801 0.0000
Co: 0.6342 0.6342 0.0000
O: 0.1543 0.6543 0.5000
O: 0.4729 0.4729 0.0000
O: 0.6543 0.1543 0.5000
O: 0.8013 0.8013 0.0000

Calculated values
**Raw total energy**: -18.353 eV per atom
**Total moment**: 0.00 μB per atom
**Offset from the most stable computed form**: 0.000 eV/atom
**Uncorrected formation energy**: -2.79 eV/atom

Record 7
Material: SrSmCoO4
Method: DFT, meta-GGA SCAN
State: single point on PBEsol structure

Lattice parameters (Å, degrees): 6.5583 6.5583 5.2929 90.00 90.00 132.59
Atoms (fractional coordinates):
Sr: 0.1043 0.8957 0.7500
Sr: 0.8957 0.1043 0.2500
Sm: 0.3833 0.6167 0.7500
Sm: 0.6167 0.3833 0.2500
Co: 0.2515 0.7485 0.2500
Co: 0.7485 0.2515 0.7500
O: 0.0000 0.5000 0.0000
O: 0.0000 0.5000 0.5000
O: 0.0934 0.9066 0.2500
O: 0.4231 0.5769 0.2500
O: 0.5000 0.0000 0.0000
O: 0.5000 0.0000 0.5000
O: 0.5769 0.4231 0.7500
O: 0.9066 0.0934 0.7500

Calculated values
**Raw total energy**: -18.334 eV per atom
**Total moment**: 0.00 μB per atom
**Offset from the most stable computed form**: 0.019 eV/atom
**Uncorrected formation energy**: -2.77 eV/atom

Record 8
Material: Sr3SmCo2O8
Method: DFT, meta-GGA SCAN
State: single point on PBEsol structure

Lattice parameters (Å, degrees): 5.2815 6.6549 6.6549 46.76 90.00 90.00
Atoms (fractional coordinates):
Sr: 0.0000 0.0000 0.0000
Sr: 0.0000 0.2859 0.2859
Sr: 0.5000 0.4963 0.4963
Sm: 0.5000 0.7781 0.7781
Co: 0.0000 0.6399 0.6399
Co: 0.5000 0.1386 0.1386
O: 0.0000 0.4845 0.4845
O: 0.0000 0.8015 0.8015
O: 0.2564 0.4025 0.8910
O: 0.2564 0.8910 0.4025
O: 0.5000 0.2981 0.2981
O: 0.5000 0.9712 0.9712
O: 0.7436 0.4025 0.8910
O: 0.7436 0.8910 0.4025

Calculated values
**DOS(E_F)**: 5.8 states/eV per cell
**Raw total energy**: -16.539 eV per atom
**Total moment**: 0.07 μB per atom
**Uncorrected formation energy**: -2.56 eV/atom